Entry 1:
{"formula": "NbTcS2", "functional": "GGA-PBE", "state": "optimized geometry", "lattice_angstrom": [[3.081, 0.000, 0.000], [-1.541, 2.669, 0.000], [0.000, 0.000, 24.239]], "species": ["Nb", "Nb", "Nb", "Tc", "Tc", "Tc", "S", "S", "S", "S", "S", "S"], "fractional_positions": [[0.000, 0.000, 0.000], [0.333, 0.667, 0.667], [0.667, 0.333, 0.333], [0.000, 0.000, 0.500], [0.333, 0.667, 0.167], [0.667, 0.333, 0.833], [0.000, 0.000, 0.405], [0.000, 0.000, 0.595], [0.333, 0.667, 0.072], [0.333, 0.667, 0.261], [0.667, 0.333, 0.739], [0.667, 0.333, 0.928]], "e_form_raw_mev_per_atom": -332, "de_polymorph_mev_per_atom": 0, "total_magnetization_mub_per_atom": 0.08, "crystal_system": "trigonal"}


Entry 2:
{"formula": "Nb3TcS6", "functional": "GGA-PBE", "state": "optimized geometry", "lattice_angstrom": [[4.865, 2.809, 4.295], [-4.865, 2.809, 4.295], [0.000, -5.618, 4.295]], "species": ["Nb", "Nb", "Nb", "Nb", "Nb", "Nb", "Tc", "Tc", "S", "S", "S", "S", "S", "S", "S", "S", "S", "S", "S", "S"], "fractional_positions": [[0.055, 0.599, 0.191], [0.191, 0.055, 0.599], [0.401, 0.809, 0.945], [0.599, 0.191, 0.055], [0.809, 0.945, 0.401], [0.945, 0.401, 0.809], [0.000, 0.000, 0.000], [0.500, 0.500, 0.500], [0.090, 0.704, 0.846], [0.154, 0.910, 0.296], [0.179, 0.400, 0.524], [0.296, 0.154, 0.910], [0.400, 0.524, 0.179], [0.476, 0.821, 0.600], [0.524, 0.179, 0.400], [0.600, 0.476, 0.821], [0.704, 0.846, 0.090], [0.821, 0.600, 0.476], [0.846, 0.090, 0.704], [0.910, 0.296, 0.154]], "e_form_raw_mev_per_atom": -676, "total_magnetization_mub_per_atom": 0.04, "crystal_system": "trigonal"}


Entry 3:
{"formula": "Nb3TcS", "functional": "GGA-PBE", "state": "optimized geometry", "lattice_angstrom": [[4.824, 0.000, 0.000], [0.000, 4.824, 0.000], [0.000, 0.000, 4.824]], "species": ["Nb", "Nb", "Nb", "Tc", "S"], "fractional_positions": [[0.000, 0.000, 0.500], [0.000, 0.500, 0.000], [0.500, 0.000, 0.000], [0.000, 0.000, 0.000], [0.500, 0.500, 0.500]], "e_form_raw_mev_per_atom": 1173, "de_polymorph_mev_per_atom": 814, "total_magnetization_mub_per_atom": 0.00, "crystal_system": "cubic"}


Entry 4:
{"formula": "NbTcS2", "functional": "GGA-PBE", "state": "optimized geometry", "lattice_angstrom": [[6.088, 0.000, 0.000], [0.000, 6.088, 0.000], [0.000, 0.000, 6.088]], "species": ["Nb", "Nb", "Nb", "Nb", "Tc", "Tc", "Tc", "Tc", "S", "S", "S", "S", "S", "S", "S", "S"], "fractional_positions": [[0.000, 0.000, 0.000], [0.000, 0.500, 0.500], [0.500, 0.000, 0.500], [0.500, 0.500, 0.000], [0.000, 0.000, 0.500], [0.000, 0.500, 0.000], [0.500, 0.000, 0.000], [0.500, 0.500, 0.500], [0.250, 0.250, 0.250], [0.250, 0.250, 0.750], [0.250, 0.750, 0.250], [0.250, 0.750, 0.750], [0.750, 0.250, 0.250], [0.750, 0.250, 0.750], [0.750, 0.750, 0.250], [0.750, 0.750, 0.750]], "e_form_raw_mev_per_atom": -299, "de_polymorph_mev_per_atom": 33, "total_magnetization_mub_per_atom": 0.00, "crystal_system": "cubic"}


Number 4 is which compound? NbTcS2


Number 3 is which compound? Nb3TcS


What did the fourth record say?
{"formula": "NbTcS2", "functional": "GGA-PBE", "state": "optimized geometry", "lattice_angstrom": [[6.088, 0.000, 0.000], [0.000, 6.088, 0.000], [0.000, 0.000, 6.088]], "species": ["Nb", "Nb", "Nb", "Nb", "Tc", "Tc", "Tc", "Tc", "S", "S", "S", "S", "S", "S", "S", "S"], "fractional_positions": [[0.000, 0.000, 0.000], [0.000, 0.500, 0.500], [0.500, 0.000, 0.500], [0.500, 0.500, 0.000], [0.000, 0.000, 0.500], [0.000, 0.500, 0.000], [0.500, 0.000, 0.000], [0.500, 0.500, 0.500], [0.250, 0.250, 0.250], [0.250, 0.250, 0.750], [0.250, 0.750, 0.250], [0.250, 0.750, 0.750], [0.750, 0.250, 0.250], [0.750, 0.250, 0.750], [0.750, 0.750, 0.250], [0.750, 0.750, 0.750]], "e_form_raw_mev_per_atom": -299, "de_polymorph_mev_per_atom": 33, "total_magnetization_mub_per_atom": 0.00, "crystal_system": "cubic"}


Number 4 is which compound? NbTcS2